PrTeO after structural relaxation, computed with PBE-GGA.

Geometry as extended XYZ:
```
3
Lattice="-4.175 2.857 2.597 -0.804 -3.159 2.182 2.601 2.649 1.267" Properties=species:S:1:pos:R:3 pbc="T T T"
Pr -0.695 0.476 0.432
O 0.770 1.189 2.005
Te -2.453 0.682 3.609
```

Fermi-level density of states: 0.560 states/eV per atom
formation energy without anion corrections: -2.035 eV/atom

Pr2TeO6 after structural relaxation, computed with PBE-GGA.

Geometry as extended XYZ:
```
18
Lattice="5.638 0.000 -0.029 0.000 6.153 0.000 -0.738 0.000 8.042" Properties=species:S:1:pos:R:3 pbc="T T T"
O 0.515 1.613 3.321
O 1.262 5.151 3.636
O 4.385 4.539 4.692
O 1.434 3.519 6.260
O 4.622 5.710 2.225
O 3.712 4.077 7.642
O 3.466 2.633 1.753
O 1.935 4.690 0.686
O 3.638 1.001 4.377
O 0.278 0.443 5.788
O 1.188 2.075 0.371
O 2.965 1.463 7.327
Pr 2.414 0.461 2.030
Pr 0.036 3.537 1.977
Pr 2.486 5.692 5.983
Pr 4.864 2.615 6.036
Te 2.819 3.076 -0.014
Te -0.369 0.000 4.021
```

Fermi-level density of states: 0.000 states/eV per atom
formation energy without anion corrections: -2.420 eV/atom

Pr3TeO3 after structural relaxation, computed with PBE-GGA.

Geometry as extended XYZ:
```
14
Lattice="4.262 0.000 0.000 0.000 8.118 -4.683 0.000 -0.003 9.371" Properties=species:S:1:pos:R:3 pbc="T T T"
O 3.196 3.163 -1.356
O 1.065 4.952 6.044
O 1.065 2.755 2.060
O 3.196 7.711 -1.266
O 1.065 0.404 5.955
O 3.196 5.359 2.628
Pr 3.196 3.253 1.048
Pr 1.065 4.862 3.640
Pr 1.065 2.531 7.078
Pr 3.196 7.396 1.347
Pr 3.196 5.583 -2.390
Pr 1.065 0.718 3.341
Te 1.065 5.411 0.002
Te 3.196 2.704 4.686
```

Fermi-level density of states: 0.416 states/eV per atom
formation energy without anion corrections: -2.571 eV/atom

PrTeO after structural relaxation, computed with PBE-GGA.

Geometry as extended XYZ:
```
6
Lattice="-3.974 -0.092 -0.116 1.901 -0.524 3.454 -0.292 10.438 1.744" Properties=species:S:1:pos:R:3 pbc="T T T"
O -0.082 0.487 2.409
O -2.284 9.335 2.673
Te -2.195 6.161 2.143
Te -0.171 3.660 2.939
Pr -0.306 8.503 3.748
Pr -2.059 1.319 1.334
```

Fermi-level density of states: 0.597 states/eV per atom
formation energy without anion corrections: -1.958 eV/atom

PrThTe2O after structural relaxation, computed with PBE-GGA.

Geometry as extended XYZ:
```
10
Lattice="-1.727 -3.913 -0.778 1.898 -0.060 -3.910 12.156 -6.557 5.999" Properties=species:S:1:pos:R:3 pbc="T T T"
Th 0.369 -2.621 0.219
Th 11.872 -5.922 3.435
O 6.163 -5.265 0.655
O 6.078 -3.278 3.000
Te 9.424 -4.601 2.227
Te 2.416 -0.821 -1.231
Te 2.817 -3.942 1.428
Te 9.825 -7.722 4.886
Pr 6.158 -2.840 0.616
Pr 6.083 -5.703 3.039
```

Fermi-level density of states: 0.328 states/eV per atom
formation energy without anion corrections: -1.921 eV/atom

PrTiTeO6 after structural relaxation, computed with PBE-GGA.

Geometry as extended XYZ:
```
18
Lattice="-2.151 4.474 1.952 1.138 -4.059 3.268 9.390 3.854 1.516" Properties=species:S:1:pos:R:3 pbc="T T T"
Ti 1.293 2.593 2.770
Ti 7.084 1.675 3.967
Pr 4.695 1.927 0.758
Pr 0.000 0.000 0.000
Te 5.988 4.520 3.528
Te 2.389 -0.251 3.209
O 6.373 0.079 4.934
O 0.684 0.838 3.505
O 1.938 3.276 4.533
O 5.401 2.707 4.272
O 2.004 4.190 1.803
O 2.976 1.561 2.465
O 7.693 3.430 3.232
O 6.439 0.993 2.204
O 0.541 2.186 0.965
O 7.836 2.082 5.772
O -0.386 3.507 3.350
O 8.763 0.762 3.387
```

Fermi-level density of states: 0.599 states/eV per atom
formation energy without anion corrections: -2.323 eV/atom

PrTl2TeO8 after structural relaxation, computed with PBE-GGA.

Geometry as extended XYZ:
```
12
Lattice="-2.227 2.897 3.155 0.042 -3.798 3.378 6.315 2.221 2.419" Properties=species:S:1:pos:R:3 pbc="T T T"
O 4.840 1.308 7.109
O -0.581 2.146 3.902
O -0.710 0.012 1.844
O 1.022 -2.124 3.637
O 2.203 1.426 3.413
O 4.711 -0.826 5.050
O 1.927 -0.106 5.539
O 3.108 3.444 5.315
Tl 0.417 0.081 3.845
Tl 3.713 1.240 5.107
Pr 3.158 1.110 1.209
Te 0.000 0.000 0.000
```

Fermi-level density of states: 0.579 states/eV per atom
formation energy without anion corrections: -1.182 eV/atom

Pr2TlTeO8 after structural relaxation, computed with PBE-GGA.

Geometry as extended XYZ:
```
12
Lattice="4.890 -0.193 0.073 -0.187 4.913 0.081 0.139 0.125 7.642" Properties=species:S:1:pos:R:3 pbc="T T T"
O 3.729 0.461 1.519
O 4.379 1.109 6.279
O 0.462 3.736 1.518
O 3.501 3.513 7.407
O 1.341 1.332 0.390
O 1.481 1.479 3.701
O 1.113 4.384 6.277
O 3.360 3.366 4.096
Tl 0.069 0.063 3.821
Te 0.000 0.000 0.000
Pr 2.199 2.204 5.866
Pr 2.642 2.641 1.931
```

Fermi-level density of states: 0.343 states/eV per atom
formation energy without anion corrections: -1.820 eV/atom

PrTlTe2O8 after structural relaxation, computed with PBE-GGA.

Geometry as extended XYZ:
```
12
Lattice="6.137 0.000 0.000 -3.068 5.315 0.000 0.000 0.000 7.977" Properties=species:S:1:pos:R:3 pbc="T T T"
O 1.559 0.948 2.486
O 3.110 3.490 2.486
O 1.509 4.366 5.492
O 3.068 1.772 7.967
O -1.468 4.438 5.492
O -0.042 1.824 5.492
O 4.536 0.876 2.486
O 0.000 3.543 0.010
Te 0.000 3.543 6.169
Te 3.068 1.772 1.808
Pr 0.000 0.000 3.989
Tl 0.000 0.000 0.000
```

Fermi-level density of states: 0.000 states/eV per atom
formation energy without anion corrections: -1.373 eV/atom

PrTlTeO4 after structural relaxation, computed with PBE-GGA.

Geometry as extended XYZ:
```
14
Lattice="-2.074 3.272 4.546 -5.683 -1.281 -1.671 1.364 -8.219 1.658" Properties=species:S:1:pos:R:3 pbc="T T T"
O 0.822 -5.519 1.292
O -7.215 -0.708 3.241
O -1.499 -5.173 3.567
O -4.397 -3.632 1.251
O -1.946 -6.143 0.478
O -1.996 -2.596 3.282
O -4.447 -0.084 4.055
O -4.894 -1.054 0.966
Pr -5.233 -2.240 3.027
Pr -1.160 -3.988 1.506
Tl -2.424 0.512 2.355
Tl -3.969 -6.739 2.178
Te -2.196 -3.741 4.841
Te -4.196 -2.486 -0.308
```

Fermi-level density of states: 0.000 states/eV per atom
formation energy without anion corrections: -1.753 eV/atom

PrTlTe2O6 after structural relaxation, computed with PBE-GGA.

Geometry as extended XYZ:
```
20
Lattice="-5.115 5.065 0.030 -2.018 -4.420 5.312 5.502 3.968 3.899" Properties=species:S:1:pos:R:3 pbc="T T T"
O -3.432 -0.409 3.962
O -3.374 1.705 5.634
O 1.742 2.909 3.606
O -0.856 0.457 1.917
O -0.262 0.928 4.504
O -1.543 3.420 1.494
O -0.089 1.194 7.746
O 2.633 1.040 5.874
O -4.264 3.574 3.367
O -0.776 4.157 7.323
O 1.800 5.022 5.279
O -1.369 3.685 4.736
Pr -2.396 1.941 3.297
Pr 0.764 2.673 5.944
Tl -1.222 -1.654 5.299
Tl -0.410 6.267 3.942
Te 0.718 0.353 2.952
Te 2.766 4.491 3.702
Te -4.398 0.123 5.538
Te -2.350 4.261 6.288
```

Fermi-level density of states: 0.000 states/eV per atom
formation energy without anion corrections: -1.617 eV/atom

Pr2TmTe2O2 after structural relaxation, computed with PBE-GGA.

Geometry as extended XYZ:
```
7
Lattice="-2.266 -2.221 2.992 3.457 0.055 2.659 -3.287 8.340 0.524" Properties=species:S:1:pos:R:3 pbc="T T T"
Pr 0.013 0.488 3.551
Pr -2.109 5.685 2.624
Te -0.975 2.628 1.213
Te -1.121 3.545 4.962
O -1.133 -1.111 1.496
O 1.728 0.027 1.329
Tm 0.000 0.000 0.000
```

Fermi-level density of states: 0.369 states/eV per atom
formation energy without anion corrections: -2.240 eV/atom

Which value of formation energy without anion corrections does entry 1 give?
-2.035 eV/atom

Which of these has the lowest formation energy without anion corrections?
Pr3TeO3

formation energy without anion corrections of number 5 (PrThTe2O)?
-1.921 eV/atom